(a)
NdThS3 after structural relaxation, computed with PBE.

magnetic moment = 0.00 μB per cell
space group = Pnma, No. 62

a = 7.617 Å, b = 4.015 Å, c = 15.556 Å
α = 90.00°, β = 90.00°, γ = 90.00°
Element x y z (fractional)
Nd1 0.101 0.250 0.209
Nd2 0.399 0.750 0.709
Nd3 0.601 0.250 0.291
Nd4 0.899 0.750 0.791
Th1 0.249 0.750 0.458
Th2 0.251 0.250 0.958
Th3 0.749 0.750 0.042
Th4 0.751 0.250 0.542
S1 0.012 0.250 0.400
S2 0.128 0.750 0.072
S3 0.172 0.250 0.779
S4 0.328 0.750 0.279
S5 0.372 0.250 0.572
S6 0.488 0.750 0.900
S7 0.512 0.250 0.100
S8 0.628 0.750 0.428
S9 0.672 0.250 0.721
S10 0.828 0.750 0.221
S11 0.872 0.250 0.928
S12 0.988 0.750 0.600

***

(b)
NdThS3 after structural relaxation, computed with PBE.

magnetic moment = 0.00 μB per cell
space group = C2/m, No. 12

a = 8.009 Å, b = 8.009 Å, c = 8.081 Å
α = 97.17°, β = 97.17°, γ = 34.50°
Element x y z (fractional)
Nd1 0.135 0.135 0.375
Nd2 0.865 0.865 0.625
Th1 0.375 0.375 0.106
Th2 0.625 0.625 0.894
S1 0.181 0.181 0.041
S2 0.323 0.323 0.418
S3 0.447 0.447 0.793
S4 0.553 0.553 0.207
S5 0.677 0.677 0.582
S6 0.819 0.819 0.959

***

The data favor (a); the next most stable structure lies 22.8 kJ/mol of atoms above it.

***

(a)
NdTmS3 after structural relaxation, computed with PBE.

magnetic moment = 0.00 μB per cell
space group = P2_1/m, No. 11

a = 7.802 Å, b = 3.940 Å, c = 7.854 Å
α = 90.00°, β = 94.96°, γ = 90.00°
Element x y z (fractional)
Nd1 0.124 0.250 0.272
Nd2 0.876 0.750 0.728
Tm1 0.352 0.750 0.826
Tm2 0.648 0.250 0.174
S1 0.127 0.250 0.888
S2 0.185 0.750 0.526
S3 0.406 0.750 0.179
S4 0.594 0.250 0.821
S5 0.815 0.250 0.474
S6 0.873 0.750 0.112

***

(b)
NdTmS3 after structural relaxation, computed with PBE.

magnetic moment = 0.00 μB per cell
space group = Pnma, No. 62

a = 7.377 Å, b = 3.970 Å, c = 15.291 Å
α = 90.00°, β = 90.00°, γ = 90.00°
Element x y z (fractional)
Nd1 0.143 0.250 0.200
Nd2 0.357 0.750 0.700
Nd3 0.643 0.250 0.300
Nd4 0.857 0.750 0.800
Tm1 0.229 0.750 0.457
Tm2 0.271 0.250 0.957
Tm3 0.729 0.750 0.043
Tm4 0.771 0.250 0.543
S1 0.012 0.250 0.396
S2 0.125 0.750 0.061
S3 0.150 0.250 0.786
S4 0.350 0.750 0.286
S5 0.375 0.250 0.561
S6 0.488 0.750 0.896
S7 0.512 0.250 0.104
S8 0.625 0.750 0.439
S9 0.650 0.250 0.714
S10 0.850 0.750 0.214
S11 0.875 0.250 0.939
S12 0.988 0.750 0.604

***

(c)
NdTmS3 after structural relaxation, computed with PBE.

magnetic moment = 0.00 μB per cell
space group = P2_1/m, No. 11

a = 11.004 Å, b = 3.946 Å, c = 21.480 Å
α = 90.00°, β = 101.47°, γ = 90.00°
Element x y z (fractional)
Nd1 0.089 0.250 0.363
Nd2 0.202 0.250 0.037
Nd3 0.305 0.750 0.733
Nd4 0.307 0.250 0.233
Nd5 0.693 0.750 0.767
Nd6 0.695 0.250 0.267
Nd7 0.798 0.750 0.963
Nd8 0.911 0.750 0.637
Tm1 0.031 0.250 0.852
Tm2 0.180 0.250 0.546
Tm3 0.447 0.250 0.916
Tm4 0.477 0.750 0.412
Tm5 0.523 0.250 0.588
Tm6 0.553 0.750 0.084
Tm7 0.820 0.750 0.454
Tm8 0.969 0.750 0.148
S1 0.037 0.250 0.229
S2 0.058 0.750 0.945
S3 0.084 0.750 0.462
S4 0.127 0.250 0.663
S5 0.204 0.750 0.135
S6 0.251 0.750 0.326
S7 0.255 0.250 0.823
S8 0.342 0.750 0.599
S9 0.356 0.750 0.986
S10 0.363 0.250 0.464
S11 0.452 0.250 0.134
S12 0.496 0.250 0.720
S13 0.504 0.750 0.280
S14 0.548 0.750 0.866
S15 0.637 0.750 0.536
S16 0.644 0.250 0.014
S17 0.658 0.250 0.401
S18 0.745 0.750 0.177
S19 0.749 0.250 0.674
S20 0.796 0.250 0.865
S21 0.873 0.750 0.337
S22 0.916 0.250 0.538
S23 0.942 0.250 0.055
S24 0.963 0.750 0.771

***

The data favor (c); the next most stable structure lies 0.5 kJ/mol of atoms above it.

***

(a)
Nd2TmS4 after structural relaxation, computed with PBE.

magnetic moment = 0.00 μB per cell
space group = Pbam, No. 55

a = 7.224 Å, b = 11.357 Å, c = 4.099 Å
α = 90.00°, β = 90.00°, γ = 90.00°
Element x y z (fractional)
Nd1 0.100 0.185 0.000
Nd2 0.400 0.685 0.000
Nd3 0.600 0.315 0.000
Nd4 0.900 0.815 0.000
Tm1 0.000 0.500 0.500
Tm2 0.500 0.000 0.500
S1 0.129 0.718 0.500
S2 0.240 0.449 0.000
S3 0.260 0.949 0.000
S4 0.371 0.218 0.500
S5 0.629 0.782 0.500
S6 0.740 0.051 0.000
S7 0.760 0.551 0.000
S8 0.871 0.282 0.500

***

(b)
Nd2TmS4 after structural relaxation, computed with PBE.

magnetic moment = 0.00 μB per cell
space group = Cmcm, No. 63

a = 6.986 Å, b = 6.986 Å, c = 13.407 Å
α = 90.00°, β = 90.00°, γ = 148.09°
Element x y z (fractional)
Nd1 0.129 0.871 0.573
Nd2 0.129 0.871 0.927
Nd3 0.871 0.129 0.073
Nd4 0.871 0.129 0.427
Tm1 0.372 0.628 0.750
Tm2 0.628 0.372 0.250
S1 0.015 0.985 0.750
S2 0.219 0.781 0.127
S3 0.219 0.781 0.373
S4 0.500 0.500 0.000
S5 0.500 0.500 0.500
S6 0.781 0.219 0.627
S7 0.781 0.219 0.873
S8 0.985 0.015 0.250

***

The data favor (a); the next most stable structure lies 6.3 kJ/mol of atoms above it.

***

(a)
NdUS3 after structural relaxation, computed with PBE.

magnetic moment = 5.93 μB per cell
space group = Cmmm, No. 65

a = 8.729 Å, b = 8.729 Å, c = 5.176 Å
α = 90.00°, β = 90.00°, γ = 136.50°
Element x y z (fractional)
Nd1 0.184 0.816 0.000
Nd2 0.816 0.184 0.000
U1 0.381 0.619 0.500
U2 0.619 0.381 0.500
S1 0.000 0.500 0.500
S2 0.231 0.231 0.500
S3 0.354 0.646 0.000
S4 0.500 0.000 0.500
S5 0.646 0.354 0.000
S6 0.769 0.769 0.500

***

(b)
NdUS3 after structural relaxation, computed with PBE.

magnetic moment = 11.03 μB per cell
space group = Pnma, No. 62

a = 7.428 Å, b = 3.964 Å, c = 15.420 Å
α = 90.00°, β = 90.00°, γ = 90.00°
Element x y z (fractional)
Nd1 0.117 0.250 0.205
Nd2 0.383 0.750 0.705
Nd3 0.617 0.250 0.295
Nd4 0.883 0.750 0.795
U1 0.237 0.750 0.461
U2 0.263 0.250 0.961
U3 0.737 0.750 0.039
U4 0.763 0.250 0.539
S1 0.010 0.250 0.399
S2 0.125 0.750 0.066
S3 0.165 0.250 0.783
S4 0.335 0.750 0.283
S5 0.375 0.250 0.566
S6 0.490 0.750 0.899
S7 0.510 0.250 0.101
S8 0.625 0.750 0.434
S9 0.665 0.250 0.717
S10 0.835 0.750 0.217
S11 0.875 0.250 0.934
S12 0.990 0.750 0.601

***

The data favor (b); the next most stable structure lies 41.4 kJ/mol of atoms above it.